(1)
# BPt3Cl

A crystal of BPt3Cl relaxed with PBEsol (meta-GGA SCAN, Alexandria via LeMat-Bulk).

Unit cell a=4.1989 b=4.1989 c=4.1989 alpha=90.00 beta=90.00 gamma=90.00
Atoms (fractional coordinates):
B (0.0000, 0.0000, 0.0000)
Pt (0.0000, 0.5000, 0.0000)
Pt (0.0000, 0.0000, 0.5000)
Pt (0.5000, 0.0000, 0.0000)
Cl (0.5000, 0.5000, 0.5000)

total moment: 0.00 μB per cell
final energy: -44.780 eV per atom

(2)
# BPtCl2

A crystal of BPtCl2 relaxed with PBEsol (meta-GGA SCAN, Alexandria via LeMat-Bulk).

Unit cell a=2.9763 b=2.9763 c=7.8572 alpha=79.08 beta=79.08 gamma=60.00
Atoms (fractional coordinates):
B (0.5000, 0.5000, 0.5000)
Pt (0.0000, 0.0000, 0.0000)
Cl (0.8947, 0.8947, 0.3158)
Cl (0.1053, 0.1053, 0.6842)

total moment: 0.00 μB per cell
final energy: -22.461 eV per atom

(3)
# BPtSCl2

A crystal of BPtSCl2 relaxed with PBEsol (meta-GGA SCAN, Alexandria via LeMat-Bulk).

Unit cell a=4.5293 b=4.8428 c=4.8428 alpha=90.00 beta=90.00 gamma=90.00
Atoms (fractional coordinates):
S (0.5000, 0.0000, 0.0000)
B (0.5000, 0.5000, 0.5000)
Pt (0.0000, 0.0000, 0.0000)
Cl (0.0000, 0.0000, 0.5000)
Cl (0.0000, 0.5000, 0.0000)

total moment: 0.00 μB per cell
final energy: -19.734 eV per atom

(4)
# Re3BCl

A crystal of Re3BCl relaxed with PBEsol (meta-GGA SCAN, Alexandria via LeMat-Bulk).

Unit cell a=4.2634 b=4.2634 c=4.2634 alpha=90.00 beta=90.00 gamma=90.00
Atoms (fractional coordinates):
Re (0.0000, 0.5000, 0.0000)
Re (0.0000, 0.0000, 0.5000)
Re (0.5000, 0.0000, 0.0000)
B (0.5000, 0.5000, 0.5000)
Cl (0.0000, 0.0000, 0.0000)

total moment: 2.06 μB per cell
final energy: -42.927 eV per atom

(5)
# BRu3Cl

A crystal of BRu3Cl relaxed with PBEsol (meta-GGA SCAN, Alexandria via LeMat-Bulk).

Unit cell a=4.0872 b=4.0872 c=4.0872 alpha=90.00 beta=90.00 gamma=90.00
Atoms (fractional coordinates):
Ru (0.0000, 0.5000, 0.0000)
Ru (0.0000, 0.0000, 0.5000)
Ru (0.5000, 0.0000, 0.0000)
B (0.0000, 0.0000, 0.0000)
Cl (0.5000, 0.5000, 0.5000)

total moment: 3.36 μB per cell
final energy: -23.099 eV per atom

(6)
# BRuCl2

A crystal of BRuCl2 relaxed with PBEsol (meta-GGA SCAN, Alexandria via LeMat-Bulk).

Unit cell a=5.1818 b=5.7201 c=5.1818 alpha=63.07 beta=90.00 gamma=116.93
Atoms (fractional coordinates):
Ru (0.7500, 0.5000, 0.7500)
Ru (0.0000, 0.0000, 0.0000)
B (0.2500, 0.5000, 0.2500)
B (0.5000, 0.0000, 0.5000)
Cl (0.5747, 0.7500, 0.3750)
Cl (0.1753, 0.7500, 0.8750)
Cl (0.8750, 0.2500, 0.5747)
Cl (0.3750, 0.2500, 0.1753)

total moment: 2.06 μB per cell
final energy: -13.188 eV per atom

no.,formation energy from raw total energies (eV/atom)
1,0.417
2,0.933
3,0.907
4,2.813
5,0.878
6,1.365